# SCAN KAlTl2, single point on PBEsol structure
data_KAlTl2
_chemical_formula_sum 'K1 Al1 Tl2'
_symmetry_space_group_name_H-M 'P m m 2'
_symmetry_Int_Tables_number 25
_symmetry_space_group_name_Hall 'P 2 -2'
_cell_length_a 3.6666
_cell_length_b 3.9392
_cell_length_c 8.0570
_cell_angle_alpha 90.00
_cell_angle_beta 90.00
_cell_angle_gamma 90.00
loop_
_atom_site_label
_atom_site_type_symbol
_atom_site_fract_x
_atom_site_fract_y
_atom_site_fract_z
K1 K 0.0000 0.0000 0.0000
Al1 Al 0.5000 0.5000 0.6948
Tl1 Tl 0.0000 0.0000 0.5391
Tl2 Tl 0.5000 0.5000 0.3043
# - relative energy among the computed polymorphs (meV/atom) = 0
# - volume (A^3/atom) = 29.1
# - calculated formation energy (eV/atom) = 0.05

# SCAN Ta2BeAl, single point on PBEsol structure
data_Ta2BeAl
_chemical_formula_sum 'Ta2 Be1 Al1'
_symmetry_space_group_name_H-M 'P 4 m m'
_symmetry_Int_Tables_number 99
_symmetry_space_group_name_Hall 'P 4 -2'
_cell_length_a 3.3619
_cell_length_b 3.3619
_cell_length_c 5.5755
_cell_angle_alpha 90.00
_cell_angle_beta 90.00
_cell_angle_gamma 90.00
loop_
_atom_site_label
_atom_site_type_symbol
_atom_site_fract_x
_atom_site_fract_y
_atom_site_fract_z
Ta1 Ta 0.0000 0.0000 0.0000
Ta2 Ta 0.5000 0.5000 0.2325
Be1 Be 0.5000 0.5000 0.7586
Al1 Al 0.0000 0.0000 0.5075
# - relative energy among the computed polymorphs (meV/atom) = 297
# - volume (A^3/atom) = 15.8
# - calculated formation energy (eV/atom) = 0.14

# SCAN La2CuOs, single point on PBEsol structure
data_La2CuOs
_chemical_formula_sum 'La4 Cu2 Os2'
_symmetry_space_group_name_H-M 'A m m 2'
_symmetry_Int_Tables_number 38
_symmetry_space_group_name_Hall 'A 2 -2'
_cell_length_a 4.3626
_cell_length_b 4.0082
_cell_length_c 10.5830
_cell_angle_alpha 90.00
_cell_angle_beta 90.00
_cell_angle_gamma 90.00
loop_
_atom_site_label
_atom_site_type_symbol
_atom_site_fract_x
_atom_site_fract_y
_atom_site_fract_z
La1 La 0.0000 0.0000 0.0000
La2 La 0.5000 0.0000 0.2778
Cu1 Cu 0.5000 0.0000 0.5707
Os1 Os 0.0000 0.0000 0.7117
# - volume (A^3/atom) = 23.1
# - calculated formation energy (eV/atom) = -0.16

# SCAN Zn3S2O9, single point on PBEsol structure
data_Zn3S2O9
_chemical_formula_sum 'Zn6 S4 O18'
_symmetry_space_group_name_H-M 'P 1 21/m 1'
_symmetry_Int_Tables_number 11
_symmetry_space_group_name_Hall '-P 2yb'
_cell_length_a 7.4015
_cell_length_b 6.6401
_cell_length_c 7.9406
_cell_angle_alpha 90.00
_cell_angle_beta 117.43
_cell_angle_gamma 90.00
loop_
_atom_site_label
_atom_site_type_symbol
_atom_site_fract_x
_atom_site_fract_y
_atom_site_fract_z
Zn1 Zn 0.0000 0.0000 0.0000
Zn2 Zn 0.1303 0.2500 0.7501
Zn3 Zn 0.3845 0.2500 0.2341
S1 S 0.1586 0.7500 0.7093
S2 S 0.4506 0.7500 0.2945
O1 O 0.0767 0.5694 0.7628
O2 O 0.0992 0.7500 0.5048
O3 O 0.1252 0.2500 0.9967
O4 O 0.3164 0.5691 0.2247
O5 O 0.3828 0.7500 0.8153
O6 O 0.4055 0.2500 0.7857
O7 O 0.4342 0.2500 0.4979
# - volume (A^3/atom) = 12.4
# - uncorrected formation energy (eV/atom) = -1.629

# SCAN Li2HgI, single point on PBEsol structure
data_Li2HgI
_chemical_formula_sum 'Li8 Hg4 I4'
_symmetry_space_group_name_H-M 'F m -3 m'
_symmetry_Int_Tables_number 225
_symmetry_space_group_name_Hall '-F 4 2 3'
_cell_length_a 7.2370
_cell_length_b 7.2370
_cell_length_c 7.2370
_cell_angle_alpha 90.00
_cell_angle_beta 90.00
_cell_angle_gamma 90.00
loop_
_atom_site_label
_atom_site_type_symbol
_atom_site_fract_x
_atom_site_fract_y
_atom_site_fract_z
Li1 Li 0.2500 0.2500 0.2500
Hg1 Hg 0.0000 0.0000 0.0000
I1 I 0.0000 0.0000 0.5000
# - relative energy among the computed polymorphs (meV/atom) = 81
# - volume (A^3/atom) = 23.7
# - uncorrected formation energy (eV/atom) = -0.474

# SCAN MoIr2Os, single point on PBEsol structure
data_MoIr2Os
_chemical_formula_sum 'Mo2 Ir4 Os2'
_symmetry_space_group_name_H-M 'I 4/m m m'
_symmetry_Int_Tables_number 139
_symmetry_space_group_name_Hall '-I 4 2'
_cell_length_a 3.8328
_cell_length_b 3.8328
_cell_length_c 7.7483
_cell_angle_alpha 90.00
_cell_angle_beta 90.00
_cell_angle_gamma 90.00
loop_
_atom_site_label
_atom_site_type_symbol
_atom_site_fract_x
_atom_site_fract_y
_atom_site_fract_z
Mo1 Mo 0.0000 0.0000 0.0000
Ir1 Ir 0.0000 0.5000 0.2500
Os1 Os 0.0000 0.0000 0.5000
# - relative energy among the computed polymorphs (meV/atom) = 62
# - volume (A^3/atom) = 14.2
# - calculated formation energy (eV/atom) = -0.23